No. 1
A relaxed Ba2LiZnNi crystal, computed with PBE.

```
Ba2LiZnNi
1.0
5.9861 0.0000 0.0000
0.0000 5.9861 0.0000
0.0000 0.0000 4.7857
Ba Li Zn Ni
2 1 1 1
Cartesian
0.0000 2.9931 0.0000
2.9931 0.0000 0.0000
0.0000 0.0000 2.3929
2.9931 2.9931 2.3929
2.9931 2.9931 0.0000
```

Results
For the density of states at the Fermi level, the calculation gives 0.675 states/eV per atom. For the energy above the most stable polymorph in this dataset, the calculation gives 0 kJ/mol of formula units. The calculation puts the formation energy from the elements at 1 meV/atom.


No. 2
A relaxed Tb2YTl crystal, computed with PBE.

```
Tb2YTl
1.0
4.8514 0.0000 0.0000
0.0000 4.8514 0.0000
0.0000 0.0000 4.9067
Tb Y Tl
2 1 1
Cartesian
0.0000 2.4257 0.0000
2.4257 0.0000 0.0000
0.0000 0.0000 2.4534
2.4257 2.4257 2.4534
```

Results
For the density of states at the Fermi level, the calculation gives 1.146 states/eV per atom. For the energy above the most stable polymorph in this dataset, the calculation gives 5 kJ/mol of formula units. The calculation puts the formation energy from the elements at -189 meV/atom.


Question: Number 1 is which compound?
Answer: Ba2LiZnNi